Li6In12Ga | the Alexandria database | PBE | optimized geometry; electronic total energy = -2.64 eV/atom; M_tot = 0.0000 μB/atom; E_form = -0.15 eV per atom
1.0
5.305 3.063 4.416
-5.305 3.063 4.416
0.000 -6.125 4.416
Li In Ga
6 12 1
direct
0.234 0.394 0.763
0.237 0.766 0.606
0.394 0.763 0.234
0.606 0.237 0.766
0.763 0.234 0.394
0.766 0.606 0.237
0.043 0.935 0.295
0.065 0.705 0.957
0.132 0.481 0.346
0.295 0.043 0.935
0.346 0.132 0.481
0.481 0.346 0.132
0.519 0.654 0.868
0.654 0.868 0.519
0.705 0.957 0.065
0.868 0.519 0.654
0.935 0.295 0.043
0.957 0.065 0.705
0.500 0.500 0.500